No. 1
# TcAgO2F (PBE, optimized geometry)
data_TcAgO2F
_symmetry_space_group_name_H-M 'P 4/m m m'
_symmetry_Int_Tables_number 123
_symmetry_space_group_name_Hall '-P 4 2'
_cell_length_a 3.812
_cell_length_b 3.812
_cell_length_c 4.506
_cell_angle_alpha 90.00
_cell_angle_beta 90.00
_cell_angle_gamma 90.00
loop_
_atom_site_label
_atom_site_type_symbol
_atom_site_fract_x
_atom_site_fract_y
_atom_site_fract_z
Tc1 Tc 0.000 0.000 0.000
Ag1 Ag 0.500 0.500 0.500
O1 O 0.000 0.500 0.000
F1 F 0.000 0.000 0.500
# formation energy without anion corrections: -1.009 eV/atom

No. 2
# CePu2Zn9 (PBE, optimized geometry)
data_CePu2Zn9
_symmetry_space_group_name_H-M 'R -3 m'
_symmetry_Int_Tables_number 166
_symmetry_space_group_name_Hall '-R 3 2"'
_cell_length_a 5.3997
_cell_length_b 5.3997
_cell_length_c 26.2826
_cell_angle_alpha 90.00
_cell_angle_beta 90.00
_cell_angle_gamma 120.00
loop_
_atom_site_label
_atom_site_type_symbol
_atom_site_fract_x
_atom_site_fract_y
_atom_site_fract_z
Ce1 Ce 0.0000 0.0000 0.0000
Pu1 Pu 0.0000 0.0000 0.1477
Zn1 Zn 0.0000 0.0000 0.3351
Zn2 Zn 0.0000 0.0000 0.5000
Zn3 Zn 0.0034 0.5017 0.9182
# formation enthalpy at 0 K: -196 meV per atom

No. 3
# La2Tl3CrSe6 (PBE, optimized geometry)
data_La2Tl3CrSe6
_symmetry_space_group_name_H-M 'C 1 2/m 1'
_symmetry_Int_Tables_number 12
_symmetry_space_group_name_Hall '-C 2y'
_cell_length_a 7.326
_cell_length_b 12.631
_cell_length_c 8.050
_cell_angle_alpha 90.00
_cell_angle_beta 107.51
_cell_angle_gamma 90.00
loop_
_atom_site_label
_atom_site_type_symbol
_atom_site_fract_x
_atom_site_fract_y
_atom_site_fract_z
La1 La 0.000 0.166 0.000
Tl1 Tl 0.000 0.000 0.500
Tl2 Tl 0.000 0.325 0.500
Cr1 Cr 0.000 0.500 0.000
Se1 Se 0.214 0.352 0.197
Se2 Se 0.226 0.500 0.791
# formation energy without anion corrections: -1.068 eV/atom

No. 4
# NiH2Pt2 (PBE, optimized geometry)
data_NiH2Pt2
_symmetry_space_group_name_H-M 'P 4/m b m'
_symmetry_Int_Tables_number 127
_symmetry_space_group_name_Hall '-P 4 2ab'
_cell_length_a 5.278
_cell_length_b 5.278
_cell_length_c 3.695
_cell_angle_alpha 90.00
_cell_angle_beta 90.00
_cell_angle_gamma 90.00
loop_
_atom_site_label
_atom_site_type_symbol
_atom_site_fract_x
_atom_site_fract_y
_atom_site_fract_z
Ni1 Ni 0.000 0.000 0.000
H1 H 0.187 0.313 0.000
Pt1 Pt 0.185 0.315 0.500
# energy above the lowest structure with this stoichiometry: 14 meV/atom

No. 5
# Rb2CaWC (PBE, optimized geometry)
data_Rb2CaWC
_symmetry_space_group_name_H-M 'P 4/m m m'
_symmetry_Int_Tables_number 123
_symmetry_space_group_name_Hall '-P 4 2'
_cell_length_a 6.735
_cell_length_b 6.735
_cell_length_c 5.742
_cell_angle_alpha 90.00
_cell_angle_beta 90.00
_cell_angle_gamma 90.00
loop_
_atom_site_label
_atom_site_type_symbol
_atom_site_fract_x
_atom_site_fract_y
_atom_site_fract_z
Rb1 Rb 0.000 0.500 0.000
Ca1 Ca 0.000 0.000 0.500
W1 W 0.000 0.000 0.000
C1 C 0.500 0.500 0.500
# formation enthalpy at 0 K: 2533 meV per atom

No. 6
# Si2RhCl (PBE, optimized geometry)
data_Si2RhCl
_symmetry_space_group_name_H-M 'C m m m'
_symmetry_Int_Tables_number 65
_symmetry_space_group_name_Hall '-C 2 2'
_cell_length_a 4.646
_cell_length_b 7.267
_cell_length_c 4.274
_cell_angle_alpha 90.00
_cell_angle_beta 90.00
_cell_angle_gamma 90.00
loop_
_atom_site_label
_atom_site_type_symbol
_atom_site_fract_x
_atom_site_fract_y
_atom_site_fract_z
Si1 Si 0.000 0.174 0.000
Rh1 Rh 0.000 0.000 0.500
Cl1 Cl 0.000 0.500 0.500
# energy above the lowest structure with this stoichiometry: 145 meV/atom
# formation energy without anion corrections: 0.029 eV/atom

No. 7
# Ce6AgHg5 (PBE, optimized geometry)
data_Ce6AgHg5
_symmetry_space_group_name_H-M 'C 1 2/m 1'
_symmetry_Int_Tables_number 12
_symmetry_space_group_name_Hall '-C 2y'
_cell_length_a 16.698
_cell_length_b 7.878
_cell_length_c 5.298
_cell_angle_alpha 90.00
_cell_angle_beta 108.00
_cell_angle_gamma 90.00
loop_
_atom_site_label
_atom_site_type_symbol
_atom_site_fract_x
_atom_site_fract_y
_atom_site_fract_z
Ce1 Ce 0.000 0.246 0.000
Ce2 Ce 0.165 0.248 0.666
Ag1 Ag 0.000 0.000 0.500
Hg1 Hg 0.000 0.500 0.500
Hg2 Hg 0.167 0.500 0.169
Hg3 Hg 0.168 0.000 0.170
# formation enthalpy at 0 K: -245 meV per atom

No. 8
# HoThAl2Au2 (PBE, optimized geometry)
data_HoThAl2Au2
_symmetry_space_group_name_H-M 'P -3 m 1'
_symmetry_Int_Tables_number 164
_symmetry_space_group_name_Hall '-P 3 2"'
_cell_length_a 4.5293
_cell_length_b 4.5293
_cell_length_c 7.5047
_cell_angle_alpha 90.00
_cell_angle_beta 90.00
_cell_angle_gamma 120.00
loop_
_atom_site_label
_atom_site_type_symbol
_atom_site_fract_x
_atom_site_fract_y
_atom_site_fract_z
Ho1 Ho 0.0000 0.0000 0.0000
Th1 Th 0.0000 0.0000 0.5000
Al1 Al 0.3333 0.6667 0.2329
Au1 Au 0.3333 0.6667 0.7715
# formation enthalpy at 0 K: -688 meV per atom

No. 9
# RbMg14Sb (PBE, optimized geometry)
data_RbMg14Sb
_symmetry_space_group_name_H-M 'P -6 m 2'
_symmetry_Int_Tables_number 187
_symmetry_space_group_name_Hall 'P -6 2'
_cell_length_a 6.6286
_cell_length_b 6.6286
_cell_length_c 10.6315
_cell_angle_alpha 90.00
_cell_angle_beta 90.00
_cell_angle_gamma 120.00
loop_
_atom_site_label
_atom_site_type_symbol
_atom_site_fract_x
_atom_site_fract_y
_atom_site_fract_z
Rb1 Rb 0.0000 0.0000 0.0000
Mg1 Mg 0.0094 0.5047 0.0000
Mg2 Mg 0.1726 0.3453 0.2660
Mg3 Mg 0.5062 0.0125 0.5000
Mg4 Mg 0.6667 0.3333 0.2443
Sb1 Sb 0.0000 0.0000 0.5000
# energy above the lowest structure with this stoichiometry: 28 meV/atom
# formation energy without anion corrections: 0.102 eV/atom

No. 10
# ZrTcS2N (PBE, optimized geometry)
data_ZrTcS2N
_symmetry_space_group_name_H-M 'P 4/m m m'
_symmetry_Int_Tables_number 123
_symmetry_space_group_name_Hall '-P 4 2'
_cell_length_a 4.764
_cell_length_b 4.764
_cell_length_c 3.701
_cell_angle_alpha 90.00
_cell_angle_beta 90.00
_cell_angle_gamma 90.00
loop_
_atom_site_label
_atom_site_type_symbol
_atom_site_fract_x
_atom_site_fract_y
_atom_site_fract_z
Zr1 Zr 0.000 0.000 0.000
Tc1 Tc 0.500 0.500 0.500
S1 S 0.000 0.500 0.500
N1 N 0.500 0.500 0.000
# energy above the lowest structure with this stoichiometry: 0 meV/atom
# formation energy without anion corrections: -0.094 eV/atom

No. 11
# HoTm2Ni2 (PBE, optimized geometry)
data_HoTm2Ni2
_symmetry_space_group_name_H-M 'C m c 21'
_symmetry_Int_Tables_number 36
_symmetry_space_group_name_Hall 'C 2c -2'
_cell_length_a 3.668
_cell_length_b 13.096
_cell_length_c 9.300
_cell_angle_alpha 90.00
_cell_angle_beta 90.00
_cell_angle_gamma 90.00
loop_
_atom_site_label
_atom_site_type_symbol
_atom_site_fract_x
_atom_site_fract_y
_atom_site_fract_z
Ho1 Ho 0.000 0.103 0.000
Tm1 Tm 0.000 0.179 0.363
Tm2 Tm 0.000 0.394 0.158
Ni1 Ni 0.000 0.262 0.651
Ni2 Ni 0.000 0.470 0.878
# energy above the lowest structure with this stoichiometry: 0 meV/atom
# formation enthalpy at 0 K: -317 meV per atom

No. 12
# Tb5Dy12Sc2 (PBE, optimized geometry)
data_Tb5Dy12Sc2
_symmetry_space_group_name_H-M 'C 1 2/m 1'
_symmetry_Int_Tables_number 12
_symmetry_space_group_name_Hall '-C 2y'
_cell_length_a 15.405
_cell_length_b 9.117
_cell_length_c 8.518
_cell_angle_alpha 90.00
_cell_angle_beta 92.54
_cell_angle_gamma 90.00
loop_
_atom_site_label
_atom_site_type_symbol
_atom_site_fract_x
_atom_site_fract_y
_atom_site_fract_z
Tb1 Tb 0.000 0.000 0.000
Tb2 Tb 0.205 0.500 0.527
Tb3 Tb 0.231 0.000 0.068
Dy1 Dy 0.056 0.500 0.837
Dy2 Dy 0.073 0.000 0.376
Dy3 Dy 0.130 0.306 0.181
Dy4 Dy 0.146 0.182 0.735
Sc1 Sc 0.000 0.333 0.500
# formation enthalpy at 0 K: 120 meV per atom

The following calculated volume values (in Å³/cell) correspond, in order, to the records above: 65.48, 663.66, 710.40, 102.90, 260.45, 144.29, 662.80, 133.33, 404.55, 83.99, 446.71, 1195.15.